Compound: ZnHgPt
Source: Alexandria via LeMat-Bulk
Functional: PBE
Structure: optimized geometry

Structure (extended XYZ):
```
3
Lattice="0.000 3.139 3.139 3.139 0.000 3.139 3.139 3.139 0.000" Properties=species:S:1:pos:R:3 pbc="T T T"
Zn 0.000 0.000 0.000
Hg 3.139 3.139 3.139
Pt 1.569 1.569 1.569
```

calculated formation energy = -0.09 eV/atom
M_tot = 0.00 μB per formula unit
electronic total energy = -7.9 eV/f.u.
V = 61.8 Å³/f.u.
energy above the most stable polymorph in this dataset = 57 meV/atom